Er2Th6Sc, optimized geometry, DFT PBE; DOS(E_F) = 1.750 states/eV per atom; symmetry = P-6m2, No. 187; total DFT energy (no corrections) = -6.575 eV per atom; total magnetic moment = 0.000 μB per atom; volume = 31.46 Å³ per atom
1.0
-1.208 2.475 -2.179
-2.172 -2.473 1.224
-5.858 15.420 20.754
Sc Th Er
1 6 2
Direct
0.333 0.667 0.000
0.667 0.333 0.895
0.333 0.667 0.216
0.667 0.333 0.105
0.333 0.667 0.437
0.333 0.667 0.784
0.333 0.667 0.563
0.667 0.333 0.327
0.667 0.333 0.673

=====

ErThSc2, optimized geometry, DFT PBE; DOS(E_F) = 1.583 states/eV per atom; symmetry = R3m, No. 160; total DFT energy (no corrections) = -6.095 eV per atom; total magnetic moment = 0.000 μB per atom; volume = 27.96 Å³ per atom
1.0
-2.021 -2.495 -1.192
-1.093 -2.471 2.105
-9.922 4.367 2.759
Th Er Sc
1 1 2
Direct
0.500 0.500 0.499
0.666 0.666 0.001
0.251 0.251 0.247
0.082 0.082 0.753

=====

ErThSc6, optimized geometry, DFT PBE; DOS(E_F) = 1.880 states/eV per atom; symmetry = P-6m2, No. 187; total DFT energy (no corrections) = -6.220 eV per atom; total magnetic moment = 0.006 μB per atom; volume = 26.26 Å³ per atom
1.0
-4.523 -2.246 1.776
3.462 -5.439 1.940
-0.875 5.135 4.266
Sc Th Er
6 1 1
Direct
0.000 0.076 0.413
0.500 0.915 0.580
0.000 0.587 0.924
0.000 0.587 0.413
0.500 0.915 0.085
0.500 0.420 0.085
0.000 0.083 0.917
0.500 0.417 0.583

=====

Er5ThSc, optimized geometry, DFT PBE; DOS(E_F) = 1.652 states/eV per atom; symmetry = C2/c, No. 15; total DFT energy (no corrections) = -5.022 eV per atom; total magnetic moment = 0.000 μB per atom; volume = 30.72 Å³ per atom
1.0
5.757 0.000 1.458
2.879 8.482 0.729
-0.335 0.000 8.721
Sc Th Er
2 2 10
Direct
0.000 0.000 0.500
0.000 0.000 0.000
0.493 0.014 0.250
0.507 0.986 0.750
0.539 0.686 0.460
0.391 0.633 0.853
0.461 0.314 0.540
0.609 0.367 0.147
0.976 0.633 0.647
0.024 0.367 0.353
0.225 0.314 0.960
0.139 0.722 0.250
0.775 0.686 0.040
0.861 0.278 0.750

=====

Er7ThSc12, optimized geometry, DFT PBE; DOS(E_F) = 2.221 states/eV per atom; symmetry = R-3, No. 148; total DFT energy (no corrections) = -5.554 eV per atom; total magnetic moment = 0.000 μB per atom; volume = 27.88 Å³ per atom
1.0
8.003 1.071 1.608
-1.196 7.986 1.608
-1.196 -1.592 7.989
Sc Er Th
12 7 1
Direct
0.496 0.624 0.139
0.715 0.266 0.143
0.861 0.504 0.376
0.624 0.139 0.496
0.504 0.376 0.861
0.139 0.496 0.624
0.285 0.734 0.857
0.143 0.715 0.266
0.376 0.861 0.504
0.857 0.285 0.734
0.266 0.143 0.715
0.734 0.857 0.285
0.500 0.500 0.500
0.385 0.045 0.161
0.839 0.615 0.955
0.615 0.955 0.839
0.045 0.161 0.385
0.955 0.839 0.615
0.161 0.385 0.045
0.000 0.000 0.000

=====

Er3ThSc4, optimized geometry, DFT PBE; DOS(E_F) = 1.786 states/eV per atom; symmetry = Pmn2_1, No. 31; total DFT energy (no corrections) = -5.772 eV per atom; total magnetic moment = 0.000 μB per atom; volume = 27.86 Å³ per atom
1.0
-5.396 0.737 -2.420
-1.273 -6.725 0.792
-4.149 1.944 9.842
Sc Er Th
8 6 2
Direct
0.647 0.117 0.500
0.982 0.119 0.251
0.482 0.881 0.751
0.482 0.881 0.249
0.147 0.883 0.000
0.982 0.119 0.749
0.153 0.882 0.500
0.653 0.118 0.000
0.985 0.632 0.249
0.138 0.370 0.500
0.985 0.632 0.751
0.638 0.630 0.000
0.485 0.368 0.251
0.485 0.368 0.749
0.643 0.637 0.500
0.143 0.363 0.000

=====

Er3Th2Sc3, optimized geometry, DFT PBE; DOS(E_F) = 1.773 states/eV per atom; symmetry = R32, No. 155; total DFT energy (no corrections) = -5.792 eV per atom; total magnetic moment = 0.000 μB per atom; volume = 29.07 Å³ per atom
1.0
6.171 -0.357 0.351
-0.350 6.171 0.351
0.358 0.357 6.170
Sc Er Th
3 3 2
Direct
0.706 0.000 0.706
0.000 0.294 0.294
0.294 0.706 0.000
0.781 0.500 0.781
0.500 0.219 0.219
0.219 0.781 0.500
0.765 0.765 0.235
0.235 0.235 0.765

=====

Er2Th8Sc3, optimized geometry, DFT PBE; DOS(E_F) = 1.742 states/eV per atom; symmetry = C2/m, No. 12; total DFT energy (no corrections) = -6.492 eV per atom; total magnetic moment = 0.000 μB per atom; volume = 30.91 Å³ per atom
1.0
5.730 0.214 1.165
1.698 8.291 1.522
0.599 -0.598 8.557
Th Sc Er
8 3 2
Direct
0.207 0.570 0.570
0.331 0.921 0.414
0.669 0.079 0.586
0.331 0.414 0.921
0.793 0.430 0.430
0.669 0.586 0.079
0.919 0.145 0.145
0.081 0.855 0.855
0.000 0.747 0.253
0.500 0.000 0.000
0.000 0.253 0.747
0.637 0.697 0.697
0.363 0.303 0.303

=====

ErTh2Sc4, optimized geometry, DFT PBE; DOS(E_F) = 1.608 states/eV per atom; symmetry = Cmmm, No. 65; total DFT energy (no corrections) = -6.148 eV per atom; total magnetic moment = 0.000 μB per atom; volume = 29.07 Å³ per atom
1.0
5.345 0.000 0.000
0.000 3.594 0.000
0.000 -1.797 10.596
Th Er Sc
2 1 4
Direct
0.500 0.072 0.144
0.500 0.928 0.856
0.000 0.500 0.000
0.500 0.302 0.605
0.500 0.698 0.395
0.000 0.818 0.636
0.000 0.182 0.364

=====

ErTh4Sc6, optimized geometry, DFT PBE; DOS(E_F) = 1.723 states/eV per atom; symmetry = P-6m2, No. 187; total DFT energy (no corrections) = -6.088 eV per atom; total magnetic moment = 0.000 μB per atom; volume = 29.79 Å³ per atom
1.0
-3.027 -3.751 -1.620
5.158 -5.793 3.774
-6.588 3.419 4.395
Th Sc Er
4 6 1
Direct
0.000 0.333 0.667
0.500 0.804 0.196
0.500 0.804 0.609
0.500 0.391 0.196
0.500 0.212 0.788
0.000 0.923 0.461
0.500 0.576 0.788
0.000 0.539 0.461
0.500 0.212 0.424
0.000 0.539 0.077
0.000 0.000 0.000

=====

Er3ThSc6, optimized geometry, DFT PBE; DOS(E_F) = 1.573 states/eV per atom; symmetry = Cmc2_1, No. 36; total DFT energy (no corrections) = -5.739 eV per atom; total magnetic moment = 0.000 μB per atom; volume = 27.58 Å³ per atom
1.0
5.843 0.000 0.000
0.000 10.283 -1.445
0.000 -3.704 9.702
Er Sc Th
6 12 2
Direct
0.559 0.607 0.393
0.059 0.393 0.607
0.974 0.066 0.280
0.974 0.720 0.934
0.474 0.280 0.066
0.474 0.934 0.720
0.133 0.723 0.277
0.920 0.044 0.956
0.526 0.284 0.385
0.026 0.385 0.284
0.869 0.962 0.533
0.420 0.956 0.044
0.633 0.277 0.723
0.369 0.533 0.962
0.026 0.716 0.615
0.869 0.467 0.038
0.369 0.038 0.467
0.526 0.615 0.716
0.635 0.793 0.207
0.135 0.207 0.793

=====

Er8Th2Sc, optimized geometry, DFT PBE; DOS(E_F) = 1.546 states/eV per atom; symmetry = C2/m, No. 12; total DFT energy (no corrections) = -5.025 eV per atom; total magnetic moment = 0.000 μB per atom; volume = 32.24 Å³ per atom
1.0
5.541 -0.429 -0.299
0.606 9.542 2.464
0.606 5.597 8.111
Er Th Sc
8 2 1
Direct
0.259 0.604 0.140
0.259 0.140 0.604
0.741 0.860 0.396
0.764 0.453 0.453
0.766 0.823 0.823
0.741 0.396 0.860
0.234 0.177 0.177
0.236 0.547 0.547
0.738 0.280 0.280
0.262 0.720 0.720
0.000 0.000 0.000